Record 1
PBE-GGA NaGaSn2, relaxed; mass density = 5136 kg/m3; DFT formation energy = 0.04 eV/atom; final energy = -24.39 eV for the cell shown
1.0
-0.757 -3.726 -2.414
3.005 1.372 -3.061
8.761 -6.144 2.533
Na Sn Ga
2 4 2
Cartesian
1.124 -1.177 -2.737
6.445 -2.974 -1.633
2.086 -3.727 -1.280
3.981 -1.110 -1.560
7.386 -5.503 -0.125
8.565 -6.655 -2.919
0.000 0.000 0.000
4.564 -5.523 -1.309

***

Record 2
PBE-GGA Na10Ga6Sn3, relaxed; mass density = 3479 kg/m3; DFT formation energy = -0.20 eV/atom; final energy = -188.39 eV for the cell shown
1.0
14.552 0.000 0.000
0.000 14.552 0.000
0.000 0.000 9.055
Na Ga Sn
40 24 12
Cartesian
7.354 11.289 2.786
8.572 8.572 4.528
9.210 11.882 0.000
2.670 5.342 0.000
7.354 11.289 6.270
7.198 3.263 6.270
11.882 9.210 0.000
3.834 10.718 1.665
3.263 7.198 6.270
12.618 4.606 4.528
1.296 13.256 0.000
10.718 3.834 7.390
11.110 11.110 6.193
4.013 14.474 7.313
14.474 4.013 1.742
1.934 9.946 4.528
3.834 10.718 7.390
11.289 7.354 6.270
3.263 7.198 2.786
0.078 10.539 7.313
5.980 5.980 4.528
3.442 3.442 2.862
5.342 2.670 0.000
7.276 0.000 2.264
14.474 4.013 7.313
11.289 7.354 2.786
4.013 14.474 1.742
10.539 0.078 1.742
10.718 3.834 1.665
7.198 3.263 2.786
10.539 0.078 7.313
9.946 1.934 4.528
4.606 12.618 4.528
11.110 11.110 2.862
13.256 1.296 0.000
7.276 0.000 6.791
3.442 3.442 6.193
0.078 10.539 1.742
0.000 7.276 6.791
0.000 7.276 2.264
0.960 0.960 2.358
8.895 8.895 1.366
1.619 12.933 5.894
6.316 8.236 6.885
5.657 5.657 7.689
1.619 12.933 3.161
11.983 13.949 4.528
0.603 2.569 4.528
7.879 4.707 0.000
6.316 8.236 2.170
5.657 5.657 1.366
12.933 1.619 5.894
4.707 7.879 0.000
2.569 0.603 4.528
9.845 6.673 0.000
13.592 13.592 6.697
13.592 13.592 2.358
8.236 6.316 6.885
12.933 1.619 3.161
6.673 9.845 0.000
13.949 11.983 4.528
8.236 6.316 2.170
0.960 0.960 6.697
8.895 8.895 7.689
1.241 5.263 4.528
6.035 12.539 0.000
2.076 2.076 0.000
5.263 1.241 4.528
8.517 2.013 0.000
12.476 12.476 0.000
12.539 6.035 0.000
13.311 9.289 4.528
9.352 5.200 4.528
5.200 9.352 4.528
2.013 8.517 0.000
9.289 13.311 4.528

***

Record 3
PBE-GGA NaGaSn4, relaxed; mass density = 5489 kg/m3; DFT formation energy = 0.08 eV/atom; final energy = -19.91 eV for the cell shown; ΔE to the lowest computed polymorph = 1.416 kcal/mol of atoms
1.0
-1.011 -4.720 3.952
3.899 -0.961 4.774
-1.869 1.165 5.837
Na Sn Ga
1 4 1
Cartesian
0.255 -1.129 3.641
1.575 -3.408 6.180
-1.318 -2.343 6.713
0.637 -2.825 9.107
1.144 -0.458 7.125
0.000 0.000 0.000

***

Record 4
PBE-GGA NaSr2Ga3Sn4, relaxed; mass density = 5211 kg/m3; DFT formation energy = -0.29 eV/atom; final energy = -32.71 eV for the cell shown
1.0
4.734 0.000 0.000
0.000 4.734 0.000
0.000 0.000 12.542
Na Sr Ga Sn
1 2 3 4
Cartesian
2.367 2.367 6.271
2.367 0.000 3.019
0.000 2.367 9.523
0.000 0.000 6.271
2.367 0.000 10.824
0.000 2.367 1.718
2.367 2.367 0.000
0.000 0.000 0.000
2.367 0.000 8.114
0.000 2.367 4.428

***

Record 5
PBE-GGA NaSrGa2Sn2, relaxed; mass density = 4714 kg/m3; DFT formation energy = -0.31 eV/atom; final energy = -18.94 eV for the cell shown
1.0
4.563 0.000 0.000
-2.282 3.952 0.000
0.000 0.000 9.522
Na Sr Ga Sn
1 1 2 2
Cartesian
0.000 0.000 4.761
0.000 0.000 0.000
2.282 1.317 2.012
0.000 2.635 7.509
2.282 1.317 6.902
0.000 2.635 2.619

***

Record 6
PBE-GGA Na2SrGaSn2, relaxed; mass density = 4171 kg/m3; DFT formation energy = -0.32 eV/atom; final energy = -34.54 eV for the cell shown
1.0
-0.648 -4.693 -0.224
7.104 -0.801 -3.770
4.183 -0.962 8.087
Na Sr Ga Sn
4 2 2 4
Cartesian
0.152 -2.438 0.427
3.038 -0.418 -0.027
7.244 -3.653 5.388
9.486 -1.485 3.688
1.915 -0.435 3.595
5.907 -0.937 2.562
3.600 -3.116 4.671
5.763 -3.197 0.101
5.060 -0.977 5.860
3.330 -2.940 1.766
5.859 -0.744 -1.347
7.967 -3.590 1.979

***

Record 7
PBE-GGA Na2SrGa2Sn2, relaxed; mass density = 4615 kg/m3; DFT formation energy = -0.28 eV/atom; final energy = -20.32 eV for the cell shown
1.0
-1.380 -3.303 -3.179
-0.301 -4.597 1.302
-9.379 -1.348 1.869
Na Sr Ga Sn
2 1 2 2
Cartesian
-5.597 -1.899 0.799
-5.463 -7.349 -0.807
0.000 0.000 0.000
-4.077 -4.836 -0.415
-6.983 -4.412 0.407
-8.506 -6.905 0.054
-2.554 -2.343 -0.062

***

Record 8
PBE-GGA NaTaGaSn2, relaxed; mass density = 6071 kg/m3; DFT formation energy = 1.50 eV/atom; final energy = -16.71 eV for the cell shown
1.0
-0.369 -2.761 4.385
-3.697 -2.922 -2.151
3.620 -3.283 -1.762
Na Sn Ga Ta
1 2 1 1
Cartesian
0.000 0.000 0.000
1.810 -1.641 -0.881
-0.185 -1.381 2.192
-0.223 -4.483 0.235
-1.848 -1.461 -1.076

***

Record 9
PBE-GGA NaGa2TcSn, relaxed; mass density = 5081 kg/m3; DFT formation energy = -0.06 eV/atom; final energy = -22.06 eV for the cell shown
1.0
4.915 0.000 0.000
0.000 4.915 0.000
0.000 0.000 5.129
Na Sn Ga Tc
1 1 2 1
Cartesian
2.457 2.457 2.565
0.000 0.000 2.565
0.000 2.457 0.000
2.457 0.000 0.000
0.000 0.000 0.000

***

Record 10
PBE-GGA NaGaSnTe3, relaxed; mass density = 4450 kg/m3; energy relative to the elements, uncorrected = -0.45 eV/atom; final energy = -40.96 eV for the cell shown
1.0
4.466 0.000 0.000
0.000 9.158 -0.324
0.000 -2.847 10.945
Na Ga Sn Te
2 2 2 6
Cartesian
1.117 1.318 1.677
3.350 4.992 8.945
1.117 -1.151 6.783
3.350 7.461 3.838
1.117 5.756 1.149
3.350 0.555 9.472
3.350 8.164 1.336
1.117 -1.853 9.285
1.117 6.027 4.590
3.350 0.284 6.032
3.350 3.576 1.480
1.117 2.735 9.141

***

Record 11
PBE-GGA Na2GaSnTe4, relaxed; mass density = 5052 kg/m3; energy relative to the elements, uncorrected = -0.51 eV/atom; final energy = -26.30 eV for the cell shown
1.0
-4.354 1.846 5.393
-2.157 -4.600 4.602
2.466 2.095 6.044
Na Ga Sn Te
2 1 1 4
Cartesian
0.154 -1.252 5.323
-2.023 -0.330 8.020
-2.177 0.923 2.697
0.000 0.000 0.000
-1.208 -1.548 2.217
-2.408 2.988 8.681
-1.404 1.768 5.139
-3.380 -2.021 5.395

***

Record 12
PBE-GGA NaTlGaSn, relaxed; mass density = 6695 kg/m3; DFT formation energy = -0.01 eV/atom; final energy = -10.76 eV for the cell shown
1.0
-0.634 4.057 -3.294
-4.842 1.635 -1.260
-1.776 4.611 1.815
Na Tl Sn Ga
1 1 1 1
Cartesian
0.000 0.000 0.000
-5.439 7.728 -2.053
-1.813 2.576 -0.684
-3.626 5.152 -1.369

***

Record 13
PBE-GGA NaTmGaSn, relaxed; mass density = 6541 kg/m3; DFT formation energy = -0.28 eV/atom; final energy = -13.96 eV for the cell shown
1.0
-2.241 -1.273 4.458
-1.888 -4.744 0.670
2.339 -3.272 3.216
Na Tm Sn Ga
1 1 1 1
Cartesian
-0.895 -4.644 4.172
0.000 0.000 0.000
-0.447 -2.322 2.086
-1.342 -6.967 6.258

***

Record 14
PBE-GGA NaGa2SnW, relaxed; mass density = 6252 kg/m3; DFT formation energy = 1.59 eV/atom; final energy = -16.40 eV for the cell shown
1.0
-1.253 4.479 -1.378
-4.957 -0.942 1.445
0.986 1.647 4.455
Na Ga Sn W
1 2 1 1
Cartesian
0.000 0.000 0.000
0.493 0.823 2.228
-0.626 2.240 -0.689
-2.612 2.592 2.261
-2.478 -0.471 0.722

***

Record 15
PBE-GGA Na2YGaSn, relaxed; mass density = 2317 kg/m3; DFT formation energy = 0.74 eV/atom; final energy = -12.44 eV for the cell shown
1.0
6.384 0.000 0.000
0.000 5.687 0.000
0.000 0.000 6.384
Y Na Sn Ga
1 2 1 1
Cartesian
0.000 0.000 0.000
0.000 0.000 3.192
3.192 0.000 0.000
0.000 2.843 0.000
3.192 2.843 3.192

***

Record 16
PBE-GGA Na2Zn3GaSn4, relaxed; mass density = 5305 kg/m3; DFT formation energy = -0.09 eV/atom; final energy = -26.35 eV for the cell shown
1.0
-2.007 1.668 3.722
1.927 -3.269 2.504
9.423 7.033 1.929
Na Zn Ga Sn
2 3 1 4
Cartesian
1.369 2.605 2.347
8.014 3.628 2.695
4.711 3.517 0.965
7.070 6.860 3.514
2.313 -0.627 1.528
4.671 2.716 4.078
-0.040 -0.800 3.113
0.000 0.000 0.000
4.993 5.310 3.089
4.389 0.923 1.953

***

Record 17
PBE-GGA Na2ZnGa4Sn3, relaxed; mass density = 4966 kg/m3; DFT formation energy = -0.07 eV/atom; final energy = -28.77 eV for the cell shown
1.0
-2.022 3.948 -1.418
-3.708 -2.418 -1.447
-4.851 1.239 10.363
Na Zn Ga Sn
2 1 4 3
Cartesian
-2.281 2.298 2.004
-5.435 -0.295 6.926
-5.290 1.384 3.749
-2.865 0.765 -1.432
0.000 0.000 0.000
-4.062 2.753 5.809
-3.653 -0.750 3.121
-2.425 0.619 5.181
-5.197 3.043 8.233
-2.519 -1.039 0.697

***

Record 18
PBE-GGA Na2Zn4GaSn3, relaxed; mass density = 5366 kg/m3; DFT formation energy = -0.07 eV/atom; final energy = -23.48 eV for the cell shown
1.0
-0.005 -3.413 -2.647
4.132 -0.774 0.991
-3.543 -7.130 9.201
Na Zn Ga Sn
2 4 1 3
Cartesian
-0.929 -3.572 1.083
-0.550 -5.652 7.289
2.063 -2.094 -0.828
0.000 0.000 0.000
-2.271 -6.271 4.567
0.791 -2.953 3.806
0.292 -5.659 3.772
-1.771 -3.565 4.600
-3.043 -7.825 6.573
1.564 -1.398 1.800

***

Record 19
PBE-GGA Na2ZnGaSn, relaxed; mass density = 3638 kg/m3; DFT formation energy = 0.19 eV/atom; final energy = -9.99 eV for the cell shown
1.0
-1.743 4.694 2.140
-0.200 -1.973 4.167
5.153 1.481 0.948
Na Zn Sn Ga
2 1 1 1
Cartesian
2.577 0.741 0.474
-0.871 2.347 1.070
0.000 0.000 0.000
1.605 2.101 3.627
-0.100 -0.987 2.084

***

Record 20
PBE-GGA Na2Zn4Ga3Sn, relaxed; mass density = 4993 kg/m3; DFT formation energy = -0.05 eV/atom; final energy = -21.31 eV for the cell shown
1.0
4.346 0.000 0.000
0.000 4.346 0.000
0.000 0.000 11.190
Na Zn Ga Sn
2 4 3 1
Cartesian
2.173 0.000 2.632
0.000 2.173 8.558
2.173 2.173 0.000
0.000 0.000 0.000
2.173 0.000 7.286
0.000 2.173 3.904
0.000 0.000 5.595
2.173 0.000 9.775
0.000 2.173 1.415
2.173 2.173 5.595

***

Record 21
PBE-GGA Na2SrGa2, relaxed; mass density = 3138 kg/m3; DFT formation energy = -0.13 eV/atom; final energy = -11.01 eV for the cell shown; ΔE to the lowest computed polymorph = 0.000 kcal/mol of atoms
1.0
-0.376 0.511 4.526
-3.576 -2.845 0.024
2.293 -6.526 3.235
Sr Ga Na
1 2 2
Cartesian
0.000 0.000 0.000
-1.190 -2.153 2.452
-0.469 -6.706 5.333
-0.030 -3.591 5.018
-1.630 -5.269 2.767